# 1
Material: Er2TlCu3S5
Method: DFT, PBEsol
State: relaxed

ΔE_f (raw): -1.13 eV per atom
Uncorrected energy: -0.2000 hartree per atom

Unit cell a=3.846 b=13.542 c=15.997 alpha=90.00 beta=90.00 gamma=90.00
Space group Cmcm (No. 63)
Unique sites:
Er (0.000, 0.192, 0.093) x8
Tl (0.000, 0.067, 0.750) x4
Cu (0.000, 0.351, 0.750) x4
Cu (0.000, 0.415, 0.035) x8
S (0.000, 0.167, 0.572) x8
S (0.000, 0.243, 0.250) x4
S (0.000, 0.441, 0.616) x8

=====

# 2
Material: Cu2Au
Method: DFT, PBEsol
State: relaxed

Formation enthalpy at 0 K: 0.04 eV/atom
Uncorrected energy: -0.1527 hartree per atom

Unit cell a=7.2961 b=7.2961 c=2.6578 alpha=90.00 beta=90.00 gamma=120.00
Space group P-62m (No. 189)
Unique sites:
Cu (0.0000, 0.3615, 0.0000) x3
Cu (0.0000, 0.6933, 0.5000) x3
Au (0.0000, 0.0000, 0.0000) x1
Au (0.3333, 0.6667, 0.5000) x2

=====

# 3
Material: Zn2RePb
Method: DFT, PBEsol
State: relaxed

Formation enthalpy at 0 K: 0.64 eV/atom
Uncorrected energy: -0.1648 hartree per atom

Unit cell a=5.567 b=8.107 c=2.952 alpha=90.00 beta=90.00 gamma=90.00
Space group Cmmm (No. 65)
Unique sites:
Zn (0.250, 0.250, 0.000) x4
Re (0.000, 0.000, 0.500) x2
Pb (0.000, 0.500, 0.500) x2

=====

# 4
Material: Cr2TcPt
Method: DFT, PBEsol
State: relaxed

Formation enthalpy at 0 K: 0.20 eV/atom
Uncorrected energy: -0.3482 hartree per atom

Unit cell a=5.235 b=8.601 c=2.548 alpha=90.00 beta=113.83 gamma=90.00
Space group C2/m (No. 12)
Unique sites:
Cr (0.250, 0.250, 0.000) x4
Tc (0.000, 0.000, 0.500) x2
Pt (0.000, 0.500, 0.500) x2

=====

# 5
Material: LiMnF3
Method: DFT, PBEsol
State: relaxed

ΔE_f (raw): -2.45 eV per atom
Uncorrected energy: -0.2188 hartree per atom

Unit cell a=7.115 b=10.984 c=6.374 alpha=90.00 beta=99.94 gamma=90.00
Space group C2/c (No. 15)
Unique sites:
Li (0.195, 0.180, 0.286) x8
Mn (0.000, 0.065, 0.750) x4
Mn (0.000, 0.448, 0.250) x4
F (0.024, 0.109, 0.068) x8
F (0.117, 0.417, 0.586) x8
F (0.238, 0.340, 0.230) x8

=====

# 6
Material: MgTcAu3
Method: DFT, PBEsol
State: relaxed

Formation enthalpy at 0 K: 0.98 eV/atom
Uncorrected energy: -0.1460 hartree per atom

Unit cell a=4.938 b=4.938 c=4.938 alpha=90.00 beta=90.00 gamma=90.00
Space group Pm-3m (No. 221)
Unique sites:
Mg (0.000, 0.000, 0.000) x1
Tc (0.500, 0.500, 0.500) x1
Au (0.000, 0.500, 0.500) x3

=====

# 7
Material: TeRh2Br
Method: DFT, PBEsol
State: relaxed

ΔE_f (raw): 0.28 eV per atom
Uncorrected energy: -0.1888 hartree per atom

Unit cell a=4.594 b=4.594 c=3.249 alpha=90.00 beta=90.00 gamma=90.00
Space group P4/mmm (No. 123)
Unique sites:
Te (0.000, 0.000, 0.000) x1
Rh (0.000, 0.500, 0.500) x2
Br (0.500, 0.500, 0.000) x1

=====

# 8
Material: P2HPtS
Method: DFT, PBEsol
State: relaxed

Uncorrected energy: -0.1470 hartree per atom

Unit cell a=4.545 b=4.545 c=4.990 alpha=90.00 beta=90.00 gamma=90.00
Space group P4/mmm (No. 123)
Unique sites:
P (0.000, 0.500, 0.000) x2
H (0.000, 0.000, 0.500) x1
Pt (0.500, 0.500, 0.000) x1
S (0.500, 0.500, 0.500) x1

=====

# 9
Material: DyAlCu
Method: DFT, PBEsol
State: relaxed

Formation enthalpy at 0 K: -0.46 eV/atom
Uncorrected energy: -0.1811 hartree per atom

Unit cell a=6.9571 b=6.9571 c=3.9383 alpha=90.00 beta=90.00 gamma=120.00
Space group P-62m (No. 189)
Unique sites:
Dy (0.0000, 0.5841, 0.0000) x3
Al (0.0000, 0.2365, 0.5000) x3
Cu (0.0000, 0.0000, 0.0000) x1
Cu (0.3333, 0.6667, 0.5000) x2

=====

# 10
Material: CuAg7
Method: DFT, PBEsol
State: relaxed

Formation enthalpy at 0 K: 0.05 eV/atom
Uncorrected energy: -0.1247 hartree per atom

Unit cell a=8.008 b=8.008 c=8.008 alpha=90.00 beta=90.00 gamma=90.00
Space group Fm-3m (No. 225)
Unique sites:
Cu (0.000, 0.000, 0.000) x4
Ag (0.000, 0.000, 0.500) x4
Ag (0.000, 0.250, 0.250) x24